Below is an optimized crystal structure of ScZnPb2, with properties calculated at the GGA-PBE level. Values from VASP.

```
&SYSTEM
  ibrav = 0, nat = 4, ntyp = 3
/
ATOMIC_SPECIES
Sc 44.96 Sc.upf
Zn 65.41 Zn.upf
Pb 207.20 Pb.upf
CELL_PARAMETERS angstrom
4.259 0.000 0.000
0.000 4.637 0.000
0.000 0.000 4.807
ATOMIC_POSITIONS crystal
Sc 0.000 0.000 0.000
Zn 0.000 0.500 0.500
Pb 0.500 0.000 0.500
Pb 0.500 0.500 0.000
```

Properties
DFT formation energy, eV/atom: -0.138
Theoretical density, g/cm3: 9.2

***

Below is an optimized crystal structure of ScZnPb2, with properties calculated at the GGA-PBE level. Values from VASP.

```
&SYSTEM
  ibrav = 0, nat = 4, ntyp = 3
/
ATOMIC_SPECIES
Sc 44.96 Sc.upf
Zn 65.41 Zn.upf
Pb 207.20 Pb.upf
CELL_PARAMETERS angstrom
1.760 1.016 9.605
-1.760 1.016 9.605
0.000 -2.032 9.605
ATOMIC_POSITIONS crystal
Sc 0.000 0.000 0.000
Zn 0.737 0.737 0.737
Pb 0.247 0.247 0.247
Pb 0.483 0.483 0.483
```

Properties
DFT formation energy, eV/atom: -0.013
Theoretical density, g/cm3: 8.5

***

Below is an optimized crystal structure of ScZn2Pb, with properties calculated at the GGA-PBE level. Values from VASP.

```
&SYSTEM
  ibrav = 0, nat = 4, ntyp = 3
/
ATOMIC_SPECIES
Sc 44.96 Sc.upf
Zn 65.41 Zn.upf
Pb 207.20 Pb.upf
CELL_PARAMETERS angstrom
1.653 0.955 9.576
-1.653 0.955 9.576
0.000 -1.909 9.576
ATOMIC_POSITIONS crystal
Sc 0.000 0.000 0.000
Zn 0.258 0.258 0.258
Zn 0.742 0.742 0.742
Pb 0.500 0.500 0.500
```

Properties
DFT formation energy, eV/atom: 0.043
Theoretical density, g/cm3: 7.0

***

Below is an optimized crystal structure of ScZn2Pb, with properties calculated at the GGA-PBE level. Values from VASP.

```
&SYSTEM
  ibrav = 0, nat = 4, ntyp = 3
/
ATOMIC_SPECIES
Sc 44.96 Sc.upf
Zn 65.41 Zn.upf
Pb 207.20 Pb.upf
CELL_PARAMETERS angstrom
3.002 -3.017 0.000
3.002 3.017 0.000
0.000 0.000 4.370
ATOMIC_POSITIONS crystal
Sc 0.000 0.000 0.000
Zn 0.000 0.500 0.500
Zn 0.500 0.000 0.500
Pb 0.500 0.500 0.000
```

Properties
DFT formation energy, eV/atom: -0.216
Theoretical density, g/cm3: 8.0

***

Below is an optimized crystal structure of ScZnPb, with properties calculated at the GGA-PBE level. Values from VASP.

```
&SYSTEM
  ibrav = 0, nat = 3, ntyp = 3
/
ATOMIC_SPECIES
Sc 44.96 Sc.upf
Zn 65.41 Zn.upf
Pb 207.20 Pb.upf
CELL_PARAMETERS angstrom
0.000 3.271 3.271
3.271 0.000 3.271
3.271 3.271 0.000
ATOMIC_POSITIONS crystal
Sc 0.000 0.000 0.000
Zn 0.250 0.250 0.250
Pb 0.500 0.500 0.500
```

Properties
DFT formation energy, eV/atom: -0.114
Theoretical density, g/cm3: 7.5

***

Below is an optimized crystal structure of ScZnPb2, with properties calculated at the GGA-PBE level. Values from VASP.

```
&SYSTEM
  ibrav = 0, nat = 4, ntyp = 3
/
ATOMIC_SPECIES
Sc 44.96 Sc.upf
Zn 65.41 Zn.upf
Pb 207.20 Pb.upf
CELL_PARAMETERS angstrom
3.285 0.000 0.000
0.000 5.054 0.000
-0.254 0.000 6.034
ATOMIC_POSITIONS crystal
Sc 0.000 0.000 0.000
Zn 0.500 0.000 0.500
Pb 0.348 0.500 0.751
Pb 0.652 0.500 0.249
```

Properties
DFT formation energy, eV/atom: 0.005
Theoretical density, g/cm3: 8.7

***

Below is an optimized crystal structure of ScZn2Pb2, with properties calculated at the GGA-PBE level. Values from VASP.

```
&SYSTEM
  ibrav = 0, nat = 10, ntyp = 3
/
ATOMIC_SPECIES
Sc 44.96 Sc.upf
Zn 65.41 Zn.upf
Pb 207.20 Pb.upf
CELL_PARAMETERS angstrom
7.764 0.000 0.000
0.000 7.764 0.000
0.000 0.000 3.788
ATOMIC_POSITIONS crystal
Sc 0.000 0.000 0.000
Sc 0.500 0.500 0.000
Zn 0.118 0.382 0.000
Zn 0.382 0.882 0.000
Zn 0.618 0.118 0.000
Zn 0.882 0.618 0.000
Pb 0.182 0.682 0.500
Pb 0.318 0.182 0.500
Pb 0.682 0.818 0.500
Pb 0.818 0.318 0.500
```

Properties
Relative energy among the computed polymorphs, meV/atom: 0
DFT formation energy, eV/atom: -0.018
Theoretical density, g/cm3: 8.6

***

Below is an optimized crystal structure of ScZnPb, with properties calculated at the GGA-PBE level. Values from VASP.

```
&SYSTEM
  ibrav = 0, nat = 3, ntyp = 3
/
ATOMIC_SPECIES
Sc 44.96 Sc.upf
Zn 65.41 Zn.upf
Pb 207.20 Pb.upf
CELL_PARAMETERS angstrom
0.000 3.372 3.372
3.372 0.000 3.372
3.372 3.372 0.000
ATOMIC_POSITIONS crystal
Sc 0.000 0.000 0.000
Zn 0.750 0.750 0.750
Pb 0.250 0.250 0.250
```

Properties
DFT formation energy, eV/atom: 0.031
Theoretical density, g/cm3: 6.9

***

Below is an optimized crystal structure of Sc5Zn2Pb, with properties calculated at the GGA-PBE level. Values from VASP.

```
&SYSTEM
  ibrav = 0, nat = 16, ntyp = 3
/
ATOMIC_SPECIES
Sc 44.96 Sc.upf
Zn 65.41 Zn.upf
Pb 207.20 Pb.upf
CELL_PARAMETERS angstrom
-3.795 3.795 6.071
3.795 -3.795 6.071
3.795 3.795 -6.071
ATOMIC_POSITIONS crystal
Sc 0.000 0.000 0.000
Sc 0.008 0.508 0.808
Sc 0.201 0.008 0.500
Sc 0.299 0.799 0.808
Sc 0.492 0.299 0.500
Sc 0.500 0.500 0.000
Sc 0.508 0.701 0.500
Sc 0.701 0.201 0.192
Sc 0.799 0.992 0.500
Sc 0.992 0.492 0.192
Zn 0.137 0.363 0.500
Zn 0.363 0.863 0.225
Zn 0.637 0.137 0.775
Zn 0.863 0.637 0.500
Pb 0.250 0.250 0.000
Pb 0.750 0.750 0.000
```

Properties
DFT formation energy, eV/atom: -0.328
Theoretical density, g/cm3: 5.3

***

Below is an optimized crystal structure of ScZn2Pb2, with properties calculated at the GGA-PBE level. Values from VASP.

```
&SYSTEM
  ibrav = 0, nat = 5, ntyp = 3
/
ATOMIC_SPECIES
Sc 44.96 Sc.upf
Zn 65.41 Zn.upf
Pb 207.20 Pb.upf
CELL_PARAMETERS angstrom
-1.817 1.817 9.188
1.817 -1.817 9.188
1.817 1.817 -9.188
ATOMIC_POSITIONS crystal
Sc 0.000 0.000 0.000
Zn 0.250 0.750 0.500
Zn 0.750 0.250 0.500
Pb 0.398 0.398 0.000
Pb 0.602 0.602 0.000
```

Properties
Relative energy among the computed polymorphs, meV/atom: 63
DFT formation energy, eV/atom: 0.045
Theoretical density, g/cm3: 8.1

***

Below is an optimized crystal structure of Sc3ZnPb, with properties calculated at the GGA-PBE level. Values from VASP.

```
&SYSTEM
  ibrav = 0, nat = 5, ntyp = 3
/
ATOMIC_SPECIES
Sc 44.96 Sc.upf
Zn 65.41 Zn.upf
Pb 207.20 Pb.upf
CELL_PARAMETERS angstrom
5.409 0.000 0.000
0.000 5.409 0.000
0.000 0.000 5.409
ATOMIC_POSITIONS crystal
Sc 0.000 0.000 0.500
Sc 0.000 0.500 0.000
Sc 0.500 0.000 0.000
Zn 0.500 0.500 0.500
Pb 0.000 0.000 0.000
```

Properties
Relative energy among the computed polymorphs, meV/atom: 592
DFT formation energy, eV/atom: 0.569
Theoretical density, g/cm3: 4.3

***

Below is an optimized crystal structure of ScZn2Pb, with properties calculated at the GGA-PBE level. Values from VASP.

```
&SYSTEM
  ibrav = 0, nat = 4, ntyp = 3
/
ATOMIC_SPECIES
Sc 44.96 Sc.upf
Zn 65.41 Zn.upf
Pb 207.20 Pb.upf
CELL_PARAMETERS angstrom
3.170 0.000 0.000
0.000 4.567 0.000
-0.024 0.000 5.854
ATOMIC_POSITIONS crystal
Sc 0.000 0.000 0.000
Zn 0.497 0.500 0.790
Zn 0.503 0.500 0.210
Pb 0.500 0.000 0.500
```

Properties
DFT formation energy, eV/atom: -0.099
Theoretical density, g/cm3: 7.5

***

Below is an optimized crystal structure of ScZn2Pb, with properties calculated at the GGA-PBE level. Values from VASP.

```
&SYSTEM
  ibrav = 0, nat = 4, ntyp = 3
/
ATOMIC_SPECIES
Sc 44.96 Sc.upf
Zn 65.41 Zn.upf
Pb 207.20 Pb.upf
CELL_PARAMETERS angstrom
1.653 0.955 9.353
-1.653 0.955 9.353
0.000 -1.909 9.353
ATOMIC_POSITIONS crystal
Sc 0.000 0.000 0.000
Zn 0.477 0.477 0.477
Zn 0.745 0.745 0.745
Pb 0.238 0.238 0.238
```

Properties
DFT formation energy, eV/atom: 0.054
Theoretical density, g/cm3: 7.2

***

Below is an optimized crystal structure of ScZnPb2, with properties calculated at the GGA-PBE level. Values from VASP.

```
&SYSTEM
  ibrav = 0, nat = 4, ntyp = 3
/
ATOMIC_SPECIES
Sc 44.96 Sc.upf
Zn 65.41 Zn.upf
Pb 207.20 Pb.upf
CELL_PARAMETERS angstrom
3.598 0.000 0.000
0.000 4.376 0.000
0.000 0.000 6.251
ATOMIC_POSITIONS crystal
Sc 0.000 0.000 0.000
Zn 0.500 0.500 0.249
Pb 0.000 0.000 0.481
Pb 0.500 0.500 0.790
```

Properties
DFT formation energy, eV/atom: -0.073
Theoretical density, g/cm3: 8.9

***

Below is an optimized crystal structure of Sc4Zn3Pb, with properties calculated at the GGA-PBE level. Values from VASP.

```
&SYSTEM
  ibrav = 0, nat = 8, ntyp = 3
/
ATOMIC_SPECIES
Sc 44.96 Sc.upf
Zn 65.41 Zn.upf
Pb 207.20 Pb.upf
CELL_PARAMETERS angstrom
2.413 1.393 7.990
-2.413 1.393 7.990
0.000 -2.786 7.990
ATOMIC_POSITIONS crystal
Sc 0.119 0.119 0.119
Sc 0.371 0.371 0.371
Sc 0.629 0.629 0.629
Sc 0.881 0.881 0.881
Zn 0.000 0.000 0.000
Zn 0.255 0.255 0.255
Zn 0.745 0.745 0.745
Pb 0.500 0.500 0.500
```

Properties
DFT formation energy, eV/atom: -0.359
Theoretical density, g/cm3: 6.0